Run P
{
  "formula": "MnTcRh",
  "functional": "PBEsol",
  "state": "optimized geometry",
  "cell": [[2.618, 0.000, 0.000], [0.000, 3.706, 0.000], [0.000, 0.000, 7.947]],
  "species": ["Mn", "Mn", "Tc", "Tc", "Rh", "Rh"],
  "frac_coords": [[0.000, 0.000, 0.000], [0.500, 0.500, 0.500], [0.000, 0.000, 0.340], [0.500, 0.500, 0.840], [0.000, 0.000, 0.666], [0.500, 0.500, 0.166]],
  "sg": "Imm2 (44)",
  "m_tot_mub_per_atom": 0.5619,
  "dos_at_fermi_per_ev_cell": 7.7
}

Run Q
{
  "formula": "MnTcRh",
  "functional": "PBEsol",
  "state": "optimized geometry",
  "cell": [[4.104, 0.000, 0.000], [-2.052, 3.554, 0.000], [0.000, 0.000, 2.627]],
  "species": ["Mn", "Tc", "Rh"],
  "frac_coords": [[0.000, 0.000, 0.000], [0.333, 0.667, 0.000], [0.667, 0.333, 0.500]],
  "sg": "P-6m2 (187)",
  "m_tot_mub_per_atom": 0.0013,
  "dos_at_fermi_per_ev_cell": 2.9
}

The structure with the least stability is run Q.

Run P
{
  "formula": "MnSb2Ru",
  "functional": "PBEsol",
  "state": "optimized geometry",
  "cell": [[3.169, 0.000, 0.000], [0.000, 3.169, 0.000], [0.000, 0.000, 6.375]],
  "species": ["Mn", "Sb", "Sb", "Ru"],
  "frac_coords": [[0.000, 0.000, 0.000], [0.500, 0.500, 0.241], [0.500, 0.500, 0.759], [0.000, 0.000, 0.500]],
  "sg": "P4/mmm (123)",
  "m_tot_mub_per_atom": 0.0552,
  "dos_at_fermi_per_ev_cell": 3.3
}

Run Q
{
  "formula": "MnSb2Ru",
  "functional": "PBEsol",
  "state": "optimized geometry",
  "cell": [[3.074, 0.000, 0.000], [0.000, 4.043, 0.000], [0.000, 0.000, 12.155]],
  "species": ["Mn", "Mn", "Sb", "Sb", "Sb", "Sb", "Ru", "Ru"],
  "frac_coords": [[0.000, 0.000, 0.000], [0.500, 0.500, 0.500], [0.000, 0.000, 0.394], [0.000, 0.500, 0.150], [0.500, 0.000, 0.650], [0.500, 0.500, 0.894], [0.000, 0.500, 0.711], [0.500, 0.000, 0.211]],
  "sg": "Imm2 (44)",
  "m_tot_mub_per_atom": 0.8936,
  "dos_at_fermi_per_ev_cell": 4.9
}

The structure with the least stability is run P.